Entry 1:
# SbSBr3 (PBE, optimized geometry)
# * N(E_F): 9.1 states/eV/f.u.
# * M_tot: 2.02 μB/cell
# * energy above the lowest structure with this stoichiometry: 535 meV per atom
# * uncorrected energy: -12.20 eV for the cell shown
data_SbSBr3
_chemical_formula_sum 'Sb1 S1 Br3'
_cell_length_a 5.586
_cell_length_b 5.586
_cell_length_c 5.586
_cell_angle_alpha 90.00
_cell_angle_beta 90.00
_cell_angle_gamma 90.00
_space_group_name_H-M_alt 'P m -3 m'
_space_group_IT_number 221
_space_group_name_Hall '-P 4 2 3'
loop_
_atom_site_label
_atom_site_fract_x
_atom_site_fract_y
_atom_site_fract_z
Sb1 0.000 0.000 0.000
S1 0.500 0.500 0.500
Br1 0.000 0.000 0.500

Entry 2:
# SbS2Br2 (PBE, optimized geometry)
# * N(E_F): 1.3 states/eV/f.u.
# * M_tot: 5.44 μB/cell
# * energy above the lowest structure with this stoichiometry: 308 meV per atom
# * uncorrected energy: -30.47 eV for the cell shown
data_SbS2Br2
_chemical_formula_sum 'Sb2 S4 Br4'
_cell_length_a 7.647
_cell_length_b 7.647
_cell_length_c 8.184
_cell_angle_alpha 90.00
_cell_angle_beta 90.00
_cell_angle_gamma 90.00
_space_group_name_H-M_alt 'P 4/m b m'
_space_group_IT_number 127
_space_group_name_Hall '-P 4 2ab'
loop_
_atom_site_label
_atom_site_fract_x
_atom_site_fract_y
_atom_site_fract_z
Sb1 0.000 0.000 0.000
S1 0.088 0.412 0.500
Br1 0.184 0.316 0.000

Entry 3:
# SbSBr2 (PBE, optimized geometry)
# * N(E_F): 4.2 states/eV/f.u.
# * M_tot: 1.68 μB/cell
# * energy above the lowest structure with this stoichiometry: 117 meV per atom
# * uncorrected energy: -46.78 eV for the cell shown
data_SbSBr2
_chemical_formula_sum 'Sb4 S4 Br8'
_cell_length_a 10.376
_cell_length_b 10.376
_cell_length_c 5.057
_cell_angle_alpha 90.00
_cell_angle_beta 90.00
_cell_angle_gamma 90.00
_space_group_name_H-M_alt 'I -4 2 d'
_space_group_IT_number 122
_space_group_name_Hall 'I -4 2bw'
loop_
_atom_site_label
_atom_site_fract_x
_atom_site_fract_y
_atom_site_fract_z
Sb1 0.000 0.000 0.000
S1 0.000 0.000 0.500
Br1 0.105 0.250 0.125

Entry 4:
# SbS2Br2 (PBE, optimized geometry)
# * M_tot: 0.00 μB/cell
# * energy above the lowest structure with this stoichiometry: 0 meV per atom
# * uncorrected energy: -67.10 eV for the cell shown
data_SbS2Br2
_chemical_formula_sum 'Sb4 S8 Br8'
_cell_length_a 7.282
_cell_length_b 14.240
_cell_length_c 7.728
_cell_angle_alpha 90.00
_cell_angle_beta 102.90
_cell_angle_gamma 90.00
_space_group_name_H-M_alt 'C 1 2/m 1'
_space_group_IT_number 12
_space_group_name_Hall '-C 2y'
loop_
_atom_site_label
_atom_site_fract_x
_atom_site_fract_y
_atom_site_fract_z
Sb1 0.000 0.165 0.000
S1 0.051 0.000 0.232
S2 0.243 0.000 0.084
Br1 0.230 0.283 0.229

Entry 5:
# SbSBr3 (PBE, optimized geometry)
# * N(E_F): 4.2 states/eV/f.u.
# * M_tot: 0.00 μB/cell
# * energy above the lowest structure with this stoichiometry: 771 meV per atom
# * uncorrected energy: -11.02 eV for the cell shown
data_SbSBr3
_chemical_formula_sum 'Sb1 S1 Br3'
_cell_length_a 5.179
_cell_length_b 5.179
_cell_length_c 5.179
_cell_angle_alpha 90.00
_cell_angle_beta 90.00
_cell_angle_gamma 90.00
_space_group_name_H-M_alt 'P m -3 m'
_space_group_IT_number 221
_space_group_name_Hall '-P 4 2 3'
loop_
_atom_site_label
_atom_site_fract_x
_atom_site_fract_y
_atom_site_fract_z
Sb1 0.000 0.000 0.000
S1 0.500 0.500 0.500
Br1 0.000 0.500 0.500

Entry 6:
# Sb5S12Br3 (PBE, optimized geometry)
# * N(E_F): 21.7 states/eV/f.u.
# * M_tot: 35.11 μB/cell
# * uncorrected energy: -553.09 eV for the cell shown
data_Sb5S12Br3
_chemical_formula_sum 'Sb40 S96 Br24'
_cell_length_a 16.336
_cell_length_b 16.336
_cell_length_c 16.336
_cell_angle_alpha 90.00
_cell_angle_beta 90.00
_cell_angle_gamma 90.00
_space_group_name_H-M_alt 'I a -3 d'
_space_group_IT_number 230
_space_group_name_Hall '-I 4bd 2c 3'
loop_
_atom_site_label
_atom_site_fract_x
_atom_site_fract_y
_atom_site_fract_z
Sb1 0.000 0.000 0.000
Sb2 0.000 0.250 0.375
S1 0.041 0.068 0.649
Br1 0.000 0.250 0.125

Entry 7:
# SbS6Br2 (PBE, optimized geometry)
# * N(E_F): 1.1 states/eV/f.u.
# * M_tot: 0.00 μB/cell
# * uncorrected energy: -32.60 eV for the cell shown
data_SbS6Br2
_chemical_formula_sum 'Sb1 S6 Br2'
_cell_length_a 4.279
_cell_length_b 7.456
_cell_length_c 9.514
_cell_angle_alpha 67.62
_cell_angle_beta 89.53
_cell_angle_gamma 89.93
_space_group_name_H-M_alt 'P -1'
_space_group_IT_number 2
_space_group_name_Hall '-P 1'
loop_
_atom_site_label
_atom_site_fract_x
_atom_site_fract_y
_atom_site_fract_z
Sb1 0.000 0.000 0.000
S1 0.088 0.126 0.644
S2 0.103 0.151 0.285
S3 0.111 0.734 0.572
Br1 0.496 0.723 0.083

Entry 8:
# SbS3Br3 (PBE, optimized geometry)
# * M_tot: 0.00 μB/cell
# * uncorrected energy: -44.57 eV for the cell shown
data_SbS3Br3
_chemical_formula_sum 'Sb2 S6 Br6'
_cell_length_a 9.215
_cell_length_b 9.215
_cell_length_c 10.068
_cell_angle_alpha 116.77
_cell_angle_beta 90.12
_cell_angle_gamma 119.97
_space_group_name_H-M_alt 'P -1'
_space_group_IT_number 2
_space_group_name_Hall '-P 1'
loop_
_atom_site_label
_atom_site_fract_x
_atom_site_fract_y
_atom_site_fract_z
Sb1 0.199 0.398 0.095
S1 0.274 0.705 0.737
S2 0.432 0.964 0.738
S3 0.468 0.194 0.263
Br1 0.076 0.222 0.243
Br2 0.147 0.667 0.243
Br3 0.479 0.403 0.757

Entry 9:
# SbSBr2 (PBE, optimized geometry)
# * N(E_F): 2.1 states/eV/f.u.
# * M_tot: 4.00 μB/cell
# * energy above the lowest structure with this stoichiometry: 580 meV per atom
# * uncorrected energy: -39.37 eV for the cell shown
data_SbSBr2
_chemical_formula_sum 'Sb4 S4 Br8'
_cell_length_a 7.246
_cell_length_b 7.246
_cell_length_c 7.246
_cell_angle_alpha 90.00
_cell_angle_beta 90.00
_cell_angle_gamma 90.00
_space_group_name_H-M_alt 'F m -3 m'
_space_group_IT_number 225
_space_group_name_Hall '-F 4 2 3'
loop_
_atom_site_label
_atom_site_fract_x
_atom_site_fract_y
_atom_site_fract_z
Sb1 0.000 0.000 0.000
S1 0.000 0.000 0.500
Br1 0.250 0.250 0.250

Entry 10:
# SbSBr2 (PBE, optimized geometry)
# * N(E_F): 3.9 states/eV/f.u.
# * M_tot: 0.84 μB/cell
# * energy above the lowest structure with this stoichiometry: 0 meV per atom
# * uncorrected energy: -24.33 eV for the cell shown
data_SbSBr2
_chemical_formula_sum 'Sb2 S2 Br4'
_cell_length_a 4.013
_cell_length_b 5.055
_cell_length_c 13.831
_cell_angle_alpha 90.00
_cell_angle_beta 90.00
_cell_angle_gamma 90.00
_space_group_name_H-M_alt 'I m m m'
_space_group_IT_number 71
_space_group_name_Hall '-I 2 2'
loop_
_atom_site_label
_atom_site_fract_x
_atom_site_fract_y
_atom_site_fract_z
Sb1 0.000 0.000 0.000
S1 0.000 0.500 0.000
Br1 0.000 0.500 0.356

Entry 11:
# SbS2Br2 (PBE, optimized geometry)
# * N(E_F): 3.0 states/eV/f.u.
# * M_tot: 0.00 μB/cell
# * energy above the lowest structure with this stoichiometry: 393 meV per atom
# * uncorrected energy: -29.62 eV for the cell shown
data_SbS2Br2
_chemical_formula_sum 'Sb2 S4 Br4'
_cell_length_a 3.440
_cell_length_b 3.440
_cell_length_c 23.537
_cell_angle_alpha 90.00
_cell_angle_beta 90.00
_cell_angle_gamma 90.00
_space_group_name_H-M_alt 'I 4/m m m'
_space_group_IT_number 139
_space_group_name_Hall '-I 4 2'
loop_
_atom_site_label
_atom_site_fract_x
_atom_site_fract_y
_atom_site_fract_z
Sb1 0.000 0.000 0.000
S1 0.000 0.500 0.250
Br1 0.000 0.000 0.419

Entry 12:
# SbSBr2 (PBE, optimized geometry)
# * N(E_F): 2.9 states/eV/f.u.
# * M_tot: 0.00 μB/cell
# * energy above the lowest structure with this stoichiometry: 476 meV per atom
# * uncorrected energy: -30.78 eV for the cell shown
data_SbSBr2
_chemical_formula_sum 'Sb3 S3 Br6'
_cell_length_a 3.5707
_cell_length_b 3.5707
_cell_length_c 28.9930
_cell_angle_alpha 90.00
_cell_angle_beta 90.00
_cell_angle_gamma 120.00
_space_group_name_H-M_alt 'R -3 m'
_space_group_IT_number 166
_space_group_name_Hall '-R 3 2"'
loop_
_atom_site_label
_atom_site_fract_x
_atom_site_fract_y
_atom_site_fract_z
Sb1 0.0000 0.0000 0.0000
S1 0.0000 0.0000 0.5000
Br1 0.0000 0.0000 0.4160

Entry 13:
# SbS6Br (PBE, optimized geometry)
# * N(E_F): 4.0 states/eV/f.u.
# * M_tot: 0.26 μB/cell
# * uncorrected energy: -58.83 eV for the cell shown
data_SbS6Br
_chemical_formula_sum 'Sb2 S12 Br2'
_cell_length_a 7.546
_cell_length_b 12.580
_cell_length_c 5.668
_cell_angle_alpha 90.00
_cell_angle_beta 120.80
_cell_angle_gamma 90.00
_space_group_name_H-M_alt 'C 1 2/m 1'
_space_group_IT_number 12
_space_group_name_Hall '-C 2y'
loop_
_atom_site_label
_atom_site_fract_x
_atom_site_fract_y
_atom_site_fract_z
Sb1 0.000 0.000 0.000
S1 0.063 0.500 0.699
S2 0.198 0.219 0.111
Br1 0.000 0.000 0.500

Entry 14:
# SbS5Br (PBE, optimized geometry)
# * N(E_F): 0.0 states/eV/f.u.
# * M_tot: 0.00 μB/cell
# * uncorrected energy: -26.56 eV for the cell shown
data_SbS5Br
_chemical_formula_sum 'Sb1 S5 Br1'
_cell_length_a 6.379
_cell_length_b 6.405
_cell_length_c 7.020
_cell_angle_alpha 68.87
_cell_angle_beta 71.96
_cell_angle_gamma 70.71
_space_group_name_H-M_alt 'P 1'
_space_group_IT_number 1
_space_group_name_Hall 'P 1'
loop_
_atom_site_label
_atom_site_fract_x
_atom_site_fract_y
_atom_site_fract_z
Sb1 0.000 0.000 0.000
S1 0.176 0.104 0.612
S2 0.516 0.948 0.649
S3 0.618 0.221 0.910
S4 0.645 0.253 0.608
S5 0.680 0.815 0.414
Br1 0.999 0.589 0.024

Entry 15:
# Sb3SBr (PBE, optimized geometry)
# * N(E_F): 7.5 states/eV/f.u.
# * M_tot: 0.00 μB/cell
# * energy above the lowest structure with this stoichiometry: 748 meV per atom
# * uncorrected energy: -11.85 eV for the cell shown
data_Sb3SBr
_chemical_formula_sum 'Sb3 S1 Br1'
_cell_length_a 5.485
_cell_length_b 5.485
_cell_length_c 5.485
_cell_angle_alpha 90.00
_cell_angle_beta 90.00
_cell_angle_gamma 90.00
_space_group_name_H-M_alt 'P m -3 m'
_space_group_IT_number 221
_space_group_name_Hall '-P 4 2 3'
loop_
_atom_site_label
_atom_site_fract_x
_atom_site_fract_y
_atom_site_fract_z
Sb1 0.000 0.000 0.500
S1 0.500 0.500 0.500
Br1 0.000 0.000 0.000

Entry 16:
# Sb3SBr (PBE, optimized geometry)
# * N(E_F): 2.4 states/eV/f.u.
# * M_tot: 0.00 μB/cell
# * energy above the lowest structure with this stoichiometry: 0 meV per atom
# * uncorrected energy: -15.59 eV for the cell shown
data_Sb3SBr
_chemical_formula_sum 'Sb3 S1 Br1'
_cell_length_a 5.293
_cell_length_b 5.293
_cell_length_c 5.293
_cell_angle_alpha 90.00
_cell_angle_beta 90.00
_cell_angle_gamma 90.00
_space_group_name_H-M_alt 'P m -3 m'
_space_group_IT_number 221
_space_group_name_Hall '-P 4 2 3'
loop_
_atom_site_label
_atom_site_fract_x
_atom_site_fract_y
_atom_site_fract_z
Sb1 0.000 0.000 0.500
S1 0.000 0.000 0.000
Br1 0.500 0.500 0.500

Entry 17:
# SbS3Br (PBE, optimized geometry)
# * N(E_F): 7.5 states/eV/f.u.
# * M_tot: 2.82 μB/cell
# * uncorrected energy: -14.69 eV for the cell shown
data_SbS3Br
_chemical_formula_sum 'Sb1 S3 Br1'
_cell_length_a 5.099
_cell_length_b 5.099
_cell_length_c 5.099
_cell_angle_alpha 90.00
_cell_angle_beta 90.00
_cell_angle_gamma 90.00
_space_group_name_H-M_alt 'P m -3 m'
_space_group_IT_number 221
_space_group_name_Hall '-P 4 2 3'
loop_
_atom_site_label
_atom_site_fract_x
_atom_site_fract_y
_atom_site_fract_z
Sb1 0.000 0.000 0.000
S1 0.000 0.000 0.500
Br1 0.500 0.500 0.500

Entry 18:
# SbSBr3 (PBE, optimized geometry)
# * N(E_F): 0.0 states/eV/f.u.
# * M_tot: 0.00 μB/cell
# * energy above the lowest structure with this stoichiometry: 0 meV per atom
# * uncorrected energy: -29.75 eV for the cell shown
data_SbSBr3
_chemical_formula_sum 'Sb2 S2 Br6'
_cell_length_a 7.049
_cell_length_b 8.496
_cell_length_c 7.457
_cell_angle_alpha 90.00
_cell_angle_beta 117.28
_cell_angle_gamma 90.00
_space_group_name_H-M_alt 'P 1 21 1'
_space_group_IT_number 4
_space_group_name_Hall 'P 2yb'
loop_
_atom_site_label
_atom_site_fract_x
_atom_site_fract_y
_atom_site_fract_z
Sb1 0.013 0.000 0.497
S1 0.253 0.481 0.368
Br1 0.167 0.730 0.784
Br2 0.174 0.295 0.799
Br3 0.465 0.695 0.477

Entry 19:
# SbSeSBr2 (PBE, optimized geometry)
# * N(E_F): 4.0 states/eV/f.u.
# * M_tot: 0.00 μB/cell
# * energy above the lowest structure with this stoichiometry: 12 meV per atom
# * uncorrected energy: -12.79 eV for the cell shown
data_SbSeSBr2
_chemical_formula_sum 'Sb1 Se1 S1 Br2'
_cell_length_a 5.096
_cell_length_b 5.096
_cell_length_c 5.022
_cell_angle_alpha 90.00
_cell_angle_beta 90.00
_cell_angle_gamma 90.00
_space_group_name_H-M_alt 'P 4/m m m'
_space_group_IT_number 123
_space_group_name_Hall '-P 4 2'
loop_
_atom_site_label
_atom_site_fract_x
_atom_site_fract_y
_atom_site_fract_z
Sb1 0.000 0.000 0.000
Se1 0.500 0.500 0.000
S1 0.500 0.500 0.500
Br1 0.000 0.500 0.500

Entry 20:
# SbSeSBr2 (PBE, optimized geometry)
# * N(E_F): 2.8 states/eV/f.u.
# * M_tot: 2.69 μB/cell
# * energy above the lowest structure with this stoichiometry: 0 meV per atom
# * uncorrected energy: -12.85 eV for the cell shown
data_SbSeSBr2
_chemical_formula_sum 'Sb1 Se1 S1 Br2'
_cell_length_a 5.577
_cell_length_b 5.577
_cell_length_c 5.415
_cell_angle_alpha 90.00
_cell_angle_beta 90.00
_cell_angle_gamma 90.00
_space_group_name_H-M_alt 'P 4/m m m'
_space_group_IT_number 123
_space_group_name_Hall '-P 4 2'
loop_
_atom_site_label
_atom_site_fract_x
_atom_site_fract_y
_atom_site_fract_z
Sb1 0.000 0.000 0.000
Se1 0.000 0.000 0.500
S1 0.500 0.500 0.500
Br1 0.000 0.500 0.000

Entry 21:
# SnSbS2Br (PBE, optimized geometry)
# * N(E_F): 5.1 states/eV/f.u.
# * M_tot: 0.00 μB/cell
# * energy above the lowest structure with this stoichiometry: 1173 meV per atom
# * uncorrected energy: -14.21 eV for the cell shown
data_SnSbS2Br
_chemical_formula_sum 'Sn1 Sb1 S2 Br1'
_cell_length_a 5.029
_cell_length_b 5.029
_cell_length_c 5.398
_cell_angle_alpha 90.00
_cell_angle_beta 90.00
_cell_angle_gamma 90.00
_space_group_name_H-M_alt 'P 4/m m m'
_space_group_IT_number 123
_space_group_name_Hall '-P 4 2'
loop_
_atom_site_label
_atom_site_fract_x
_atom_site_fract_y
_atom_site_fract_z
Sn1 0.000 0.000 0.000
Sb1 0.500 0.500 0.000
S1 0.000 0.500 0.500
Br1 0.500 0.500 0.500

Entry 22:
# SnSbS2Br (PBE, optimized geometry)
# * M_tot: 0.00 μB/cell
# * energy above the lowest structure with this stoichiometry: 0 meV per atom
# * uncorrected energy: -40.14 eV for the cell shown
data_SnSbS2Br
_chemical_formula_sum 'Sn2 Sb2 S4 Br2'
_cell_length_a 8.775
_cell_length_b 3.989
_cell_length_c 9.948
_cell_angle_alpha 90.00
_cell_angle_beta 105.59
_cell_angle_gamma 90.00
_space_group_name_H-M_alt 'P 1 21/m 1'
_space_group_IT_number 11
_space_group_name_Hall '-P 2yb'
loop_
_atom_site_label
_atom_site_fract_x
_atom_site_fract_y
_atom_site_fract_z
Sn1 0.197 0.250 0.012
Sb1 0.304 0.750 0.465
S1 0.103 0.750 0.146
S2 0.432 0.250 0.349
Br1 0.208 0.250 0.642

Computed V (Å³ per atom) in order:
34.86; 47.85; 34.03; 39.06; 27.79; 27.25; 31.19; 45.14; 23.78; 35.07; 27.85; 26.68; 28.88; 35.22; 33.00; 29.65; 26.52; 39.69; 26.09; 33.68; 27.31; 33.54
Computed formation energy without anion corrections (kJ per mole of atoms) in order:
21; 9; -2; -20; 43; 29; -4; -11; 42; -14; 18; 32; 14; -2; 122; 50; 67; -31; 44; 43; 74; -39